An optimized crystal structure of YFeSi2Os. Source: Alexandria, functional PBE.

## Properties
**Crystal system**: tetragonal
**Total energy**: -8.09 eV per atom

```
YFeSi2Os
1.0
4.033 0.000 0.000
0.000 4.033 0.000
-2.016 -2.016 4.929
Os Fe Si Y
1 1 2 1
direct
0.750 0.250 0.500
0.250 0.750 0.500
0.373 0.373 0.747
0.627 0.627 0.253
0.000 0.000 0.000
```